Entry 1:
Below is a relaxed structure of Li8CdIn3, with properties calculated at the PBE-GGA level.

Results
final energy = -2.00 eV per atom

Cell and atoms, written as CIF:
```
data_Li8CdIn3
_space_group_name_H-M_alt 'I -4 2 m'
_space_group_IT_number 121
_space_group_name_Hall 'I -4 2'
_cell_length_a 7.4551
_cell_length_b 7.4551
_cell_length_c 9.8341
_cell_angle_alpha 90.00
_cell_angle_beta 90.00
_cell_angle_gamma 90.00
loop_
_atom_site_label
_atom_site_type_symbol
_atom_site_fract_x
_atom_site_fract_y
_atom_site_fract_z
Li1 Li 0.1315 0.1315 0.2490
Li2 Li 0.2480 0.2480 0.9963
Cd1 Cd 0.0000 0.0000 0.0000
In1 In 0.0000 0.0000 0.5000
In2 In 0.0000 0.5000 0.2500
```

Entry 2:
Below is a relaxed structure of LiCdIn2, with properties calculated at the PBE-GGA level.

Results
final energy = -2.21 eV per atom

Cell and atoms, written as CIF:
```
data_LiCdIn2
_space_group_name_H-M_alt 'I 4/m m m'
_space_group_IT_number 139
_space_group_name_Hall '-I 4 2'
_cell_length_a 4.4791
_cell_length_b 4.4791
_cell_length_c 8.9995
_cell_angle_alpha 90.00
_cell_angle_beta 90.00
_cell_angle_gamma 90.00
loop_
_atom_site_label
_atom_site_type_symbol
_atom_site_fract_x
_atom_site_fract_y
_atom_site_fract_z
Li1 Li 0.0000 0.0000 0.0000
Cd1 Cd 0.0000 0.0000 0.5000
In1 In 0.0000 0.5000 0.2500
```

Entry 3:
Below is a relaxed structure of Li12CdIn2, with properties calculated at the PBE-GGA level.

Results
final energy = -1.95 eV per atom

Cell and atoms, written as CIF:
```
data_Li12CdIn2
_space_group_name_H-M_alt 'P 4/n b m'
_space_group_IT_number 125
_cell_length_a 5.4469
_cell_length_b 5.4469
_cell_length_c 20.7362
_cell_angle_alpha 90.00
_cell_angle_beta 90.00
_cell_angle_gamma 90.00
loop_
_space_group_symop_operation_xyz
'x,y,z'
'-x,-y,-z'
'-y+1/2,x,z'
'y+1/2,-x,-z'
'-x+1/2,-y+1/2,z'
'x+1/2,y+1/2,-z'
'y,-x+1/2,z'
'-y,x+1/2,-z'
'x,-y+1/2,-z'
'-x,y+1/2,z'
'-y+1/2,-x+1/2,-z'
'y+1/2,x+1/2,z'
'-x+1/2,y,-z'
'x+1/2,-y,z'
'y,x,-z'
'-y,-x,z'
loop_
_atom_site_label
_atom_site_type_symbol
_atom_site_fract_x
_atom_site_fract_y
_atom_site_fract_z
Li1 Li 0.0001 0.9999 0.1021
Li2 Li 0.0701 0.5701 0.4403
Li3 Li 0.2500 0.2500 0.2136
Li4 Li 0.2500 0.2500 0.3424
Cd1 Cd 0.2500 0.7500 0.0000
In1 In 0.2500 0.7500 0.2920
```

Entry 4:
Below is a relaxed structure of Li2CdIn2, with properties calculated at the PBE-GGA level.

Results
relative energy among the computed polymorphs = 58 meV/atom
final energy = -2.19 eV per atom

Cell and atoms, written as CIF:
```
data_Li2CdIn2
_space_group_name_H-M_alt 'P 4/m b m'
_space_group_IT_number 127
_space_group_name_Hall '-P 4 2ab'
_cell_length_a 7.3598
_cell_length_b 7.3598
_cell_length_c 3.8653
_cell_angle_alpha 90.00
_cell_angle_beta 90.00
_cell_angle_gamma 90.00
loop_
_atom_site_label
_atom_site_type_symbol
_atom_site_fract_x
_atom_site_fract_y
_atom_site_fract_z
Li1 Li 0.1409 0.3591 0.0000
Cd1 Cd 0.0000 0.0000 0.0000
In1 In 0.1588 0.6588 0.5000
```

Entry 5:
Below is a relaxed structure of Li2CdIn8, with properties calculated at the PBE-GGA level.

Results
relative energy among the computed polymorphs = 0 meV/atom
final energy = -2.50 eV per atom

Cell and atoms, written as CIF:
```
data_Li2CdIn8
_space_group_name_H-M_alt 'C 1 2/m 1'
_space_group_IT_number 12
_space_group_name_Hall '-C 2y'
_cell_length_a 16.2685
_cell_length_b 4.6324
_cell_length_c 7.3880
_cell_angle_alpha 90.00
_cell_angle_beta 105.61
_cell_angle_gamma 90.00
loop_
_atom_site_label
_atom_site_type_symbol
_atom_site_fract_x
_atom_site_fract_y
_atom_site_fract_z
Li1 Li 0.2269 0.0000 0.1463
Cd1 Cd 0.0000 0.5000 0.5000
In1 In 0.0490 0.0000 0.2388
In2 In 0.0982 0.5000 0.9720
In3 In 0.1421 0.0000 0.7156
In4 In 0.1833 0.5000 0.4231
```

Entry 6:
Below is a relaxed structure of Li6CdIn12, with properties calculated at the PBE-GGA level.

Results
relative energy among the computed polymorphs = 13 meV/atom
final energy = -2.51 eV per atom

Cell and atoms, written as CIF:
```
data_Li6CdIn12
_space_group_name_H-M_alt 'R -3 m'
_space_group_IT_number 166
_space_group_name_Hall '-R 3 2"'
_cell_length_a 9.0312
_cell_length_b 9.0312
_cell_length_c 19.1279
_cell_angle_alpha 90.00
_cell_angle_beta 90.00
_cell_angle_gamma 120.00
loop_
_atom_site_label
_atom_site_type_symbol
_atom_site_fract_x
_atom_site_fract_y
_atom_site_fract_z
Li1 Li 0.0692 0.5346 0.4001
Cd1 Cd 0.0000 0.0000 0.0000
In1 In 0.0927 0.5463 0.8005
In2 In 0.1091 0.5545 0.0634
```

Entry 7:
Below is a relaxed structure of LiCd2In6, with properties calculated at the PBE-GGA level.

Results
relative energy among the computed polymorphs = 31 meV/atom
final energy = -2.23 eV per atom

Cell and atoms, written as CIF:
```
data_LiCd2In6
_space_group_name_H-M_alt 'C 1 2/m 1'
_space_group_IT_number 12
_space_group_name_Hall '-C 2y'
_cell_length_a 14.8991
_cell_length_b 7.1551
_cell_length_c 4.6833
_cell_angle_alpha 90.00
_cell_angle_beta 106.40
_cell_angle_gamma 90.00
loop_
_atom_site_label
_atom_site_type_symbol
_atom_site_fract_x
_atom_site_fract_y
_atom_site_fract_z
Li1 Li 0.0000 0.0000 0.0000
Cd1 Cd 0.1635 0.5000 0.6536
In1 In 0.0000 0.2255 0.5000
In2 In 0.1593 0.2330 0.1515
```

Entry 8:
Below is a relaxed structure of Li8Cd3In2, with properties calculated at the PBE-GGA level.

Results
final energy = -2.00 eV per atom

Cell and atoms, written as CIF:
```
data_Li8Cd3In2
_space_group_name_H-M_alt 'P 1 2/m 1'
_space_group_IT_number 10
_space_group_name_Hall '-P 2y'
_cell_length_a 7.1984
_cell_length_b 4.6529
_cell_length_c 8.1238
_cell_angle_alpha 90.00
_cell_angle_beta 109.48
_cell_angle_gamma 90.00
loop_
_atom_site_label
_atom_site_type_symbol
_atom_site_fract_x
_atom_site_fract_y
_atom_site_fract_z
Li1 Li 0.0611 0.0000 0.3585
Li2 Li 0.0829 0.5000 0.8632
Li3 Li 0.3691 0.0000 0.8036
Li4 Li 0.3745 0.5000 0.2690
Cd1 Cd 0.2187 0.5000 0.5621
Cd2 Cd 0.5000 0.0000 0.5000
In1 In 0.2113 0.0000 0.0837
```

Entry 9:
Below is a relaxed structure of Li5Cd4In2, with properties calculated at the PBE-GGA level.

Results
final energy = -1.92 eV per atom

Cell and atoms, written as CIF:
```
data_Li5Cd4In2
_space_group_name_H-M_alt 'P b a m'
_space_group_IT_number 55
_space_group_name_Hall '-P 2 2ab'
_cell_length_a 7.4281
_cell_length_b 17.4481
_cell_length_c 3.3167
_cell_angle_alpha 90.00
_cell_angle_beta 90.00
_cell_angle_gamma 90.00
loop_
_atom_site_label
_atom_site_type_symbol
_atom_site_fract_x
_atom_site_fract_y
_atom_site_fract_z
Li1 Li 0.0000 0.0000 0.0000
Li2 Li 0.1111 0.4261 0.0000
Li3 Li 0.2183 0.1851 0.0000
Cd1 Cd 0.0903 0.8670 0.5000
Cd2 Cd 0.2075 0.5538 0.5000
In1 In 0.0372 0.2958 0.5000
```

Entry 10:
Below is a relaxed structure of LiCd4In4, with properties calculated at the PBE-GGA level.

Results
final energy = -1.87 eV per atom

Cell and atoms, written as CIF:
```
data_LiCd4In4
_space_group_name_H-M_alt 'I 4/m'
_space_group_IT_number 87
_space_group_name_Hall '-I 4'
_cell_length_a 9.8593
_cell_length_b 9.8593
_cell_length_c 4.3952
_cell_angle_alpha 90.00
_cell_angle_beta 90.00
_cell_angle_gamma 90.00
loop_
_atom_site_label
_atom_site_type_symbol
_atom_site_fract_x
_atom_site_fract_y
_atom_site_fract_z
Li1 Li 0.0000 0.0000 0.0000
Cd1 Cd 0.0004 0.3352 0.0000
In1 In 0.1632 0.8360 0.5000
```

Entry 11:
Below is a relaxed structure of Li5Cd2In6, with properties calculated at the PBE-GGA level.

Results
final energy = -2.30 eV per atom

Cell and atoms, written as CIF:
```
data_Li5Cd2In6
_space_group_name_H-M_alt 'P b a m'
_space_group_IT_number 55
_space_group_name_Hall '-P 2 2ab'
_cell_length_a 10.2535
_cell_length_b 16.8527
_cell_length_c 3.2789
_cell_angle_alpha 90.00
_cell_angle_beta 90.00
_cell_angle_gamma 90.00
loop_
_atom_site_label
_atom_site_type_symbol
_atom_site_fract_x
_atom_site_fract_y
_atom_site_fract_z
Li1 Li 0.0000 0.0000 0.0000
Li2 Li 0.0932 0.2739 0.0000
Li3 Li 0.2014 0.5529 0.0000
Cd1 Cd 0.1543 0.7188 0.5000
In1 In 0.0481 0.4169 0.5000
In2 In 0.0853 0.1314 0.5000
In3 In 0.1838 0.8791 0.0000
```

Entry 12:
Below is a relaxed structure of Li2Cd5In, with properties calculated at the PBE-GGA level.

Results
final energy = -1.55 eV per atom

Cell and atoms, written as CIF:
```
data_Li2Cd5In
_space_group_name_H-M_alt 'P b a m'
_space_group_IT_number 55
_space_group_name_Hall '-P 2 2ab'
_cell_length_a 6.3189
_cell_length_b 12.6522
_cell_length_c 4.2320
_cell_angle_alpha 90.00
_cell_angle_beta 90.00
_cell_angle_gamma 90.00
loop_
_atom_site_label
_atom_site_type_symbol
_atom_site_fract_x
_atom_site_fract_y
_atom_site_fract_z
Li1 Li 0.2502 0.1231 0.0000
Cd1 Cd 0.0000 0.0000 0.5000
Cd2 Cd 0.0013 0.2496 0.5000
Cd3 Cd 0.2452 0.8736 0.0000
In1 In 0.0000 0.5000 0.5000
```

Entry 13:
Below is a relaxed structure of Li2Cd3In, with properties calculated at the PBE-GGA level.

Results
final energy = -1.73 eV per atom

Cell and atoms, written as CIF:
```
data_Li2Cd3In
_space_group_name_H-M_alt 'C 1 2/c 1'
_space_group_IT_number 15
_space_group_name_Hall '-C 2yc'
_cell_length_a 7.9110
_cell_length_b 8.5554
_cell_length_c 7.9142
_cell_angle_alpha 90.00
_cell_angle_beta 103.51
_cell_angle_gamma 90.00
loop_
_atom_site_label
_atom_site_type_symbol
_atom_site_fract_x
_atom_site_fract_y
_atom_site_fract_z
Li1 Li 0.1246 0.2480 0.1250
Cd1 Cd 0.0000 0.0824 0.7500
Cd2 Cd 0.2456 0.0850 0.5016
In1 In 0.0000 0.4165 0.7500
```

Entry 14:
Below is a relaxed structure of Li4Cd3In4, with properties calculated at the PBE-GGA level.

Results
final energy = -2.08 eV per atom

Cell and atoms, written as CIF:
```
data_Li4Cd3In4
_space_group_name_H-M_alt 'I m m m'
_space_group_IT_number 71
_space_group_name_Hall '-I 2 2'
_cell_length_a 3.1614
_cell_length_b 8.4606
_cell_length_c 17.5914
_cell_angle_alpha 90.00
_cell_angle_beta 90.00
_cell_angle_gamma 90.00
loop_
_atom_site_label
_atom_site_type_symbol
_atom_site_fract_x
_atom_site_fract_y
_atom_site_fract_z
Li1 Li 0.0000 0.0000 0.2364
Li2 Li 0.0000 0.2052 0.0000
Cd1 Cd 0.0000 0.0000 0.5000
Cd2 Cd 0.0000 0.5000 0.4068
In1 In 0.0000 0.3113 0.1546
```

Entry 15:
Below is a relaxed structure of LiCd2In2, with properties calculated at the PBE-GGA level.

Results
relative energy among the computed polymorphs = 17 meV/atom
final energy = -1.84 eV per atom

Cell and atoms, written as CIF:
```
data_LiCd2In2
_space_group_name_H-M_alt 'P 4/m b m'
_space_group_IT_number 127
_space_group_name_Hall '-P 4 2ab'
_cell_length_a 8.3059
_cell_length_b 8.3059
_cell_length_c 3.6853
_cell_angle_alpha 90.00
_cell_angle_beta 90.00
_cell_angle_gamma 90.00
loop_
_atom_site_label
_atom_site_type_symbol
_atom_site_fract_x
_atom_site_fract_y
_atom_site_fract_z
Li1 Li 0.0000 0.0000 0.0000
Cd1 Cd 0.1654 0.3346 0.5000
In1 In 0.1357 0.6357 0.0000
```

Entry 16:
Below is a relaxed structure of Li10Cd6In, with properties calculated at the PBE-GGA level.

Results
final energy = -1.81 eV per atom

Cell and atoms, written as CIF:
```
data_Li10Cd6In
_space_group_name_H-M_alt 'P -3 1 m'
_space_group_IT_number 162
_space_group_name_Hall '-P 3 2'
_cell_length_a 8.1084
_cell_length_b 8.1084
_cell_length_c 5.7707
_cell_angle_alpha 90.00
_cell_angle_beta 90.00
_cell_angle_gamma 120.00
loop_
_atom_site_label
_atom_site_type_symbol
_atom_site_fract_x
_atom_site_fract_y
_atom_site_fract_z
Li1 Li 0.0000 0.2987 0.3327
Li2 Li 0.3333 0.6667 0.0000
Li3 Li 0.3333 0.6667 0.5000
Cd1 Cd 0.0000 0.3612 0.8241
In1 In 0.0000 0.0000 0.0000
```

Entry 17:
Below is a relaxed structure of Li7Cd4In, with properties calculated at the PBE-GGA level.

Results
relative energy among the computed polymorphs = 0 meV/atom
final energy = -1.88 eV per atom

Cell and atoms, written as CIF:
```
data_Li7Cd4In
_space_group_name_H-M_alt 'P -3 m 1'
_space_group_IT_number 164
_space_group_name_Hall '-P 3 2"'
_cell_length_a 4.7237
_cell_length_b 4.7237
_cell_length_c 11.3896
_cell_angle_alpha 90.00
_cell_angle_beta 90.00
_cell_angle_gamma 120.00
loop_
_atom_site_label
_atom_site_type_symbol
_atom_site_fract_x
_atom_site_fract_y
_atom_site_fract_z
Li1 Li 0.0000 0.0000 0.0000
Li2 Li 0.0000 0.0000 0.2472
Li3 Li 0.3333 0.6667 0.1700
Li4 Li 0.3333 0.6667 0.4212
Cd1 Cd 0.3333 0.6667 0.6694
Cd2 Cd 0.3333 0.6667 0.9254
In1 In 0.0000 0.0000 0.5000
```

Entry 18:
Below is a relaxed structure of LiCd6In2, with properties calculated at the PBE-GGA level.

Results
relative energy among the computed polymorphs = 0 meV/atom
final energy = -1.45 eV per atom

Cell and atoms, written as CIF:
```
data_LiCd6In2
_space_group_name_H-M_alt 'C 1 2/m 1'
_space_group_IT_number 12
_space_group_name_Hall '-C 2y'
_cell_length_a 8.6067
_cell_length_b 15.3075
_cell_length_c 3.2495
_cell_angle_alpha 90.00
_cell_angle_beta 103.84
_cell_angle_gamma 90.00
loop_
_atom_site_label
_atom_site_type_symbol
_atom_site_fract_x
_atom_site_fract_y
_atom_site_fract_z
Li1 Li 0.0000 0.0000 0.0000
Cd1 Cd 0.1606 0.3341 0.8304
Cd2 Cd 0.1822 0.5000 0.3380
In1 In 0.0000 0.1582 0.5000
```

Number 1: V 546.6 Å³/cell, spin magnetization 0.00 μB/f.u., energy of formation from the pure elements 0.034 eV per atom. Number 2: V 180.6 Å³/cell, spin magnetization 0.00 μB/f.u., energy of formation from the pure elements -0.132 eV per atom. Number 3: V 615.2 Å³/cell, spin magnetization 0.00 μB/f.u., energy of formation from the pure elements 0.008 eV per atom. Number 4: V 209.4 Å³/cell, spin magnetization 0.00 μB/f.u., energy of formation from the pure elements -0.143 eV per atom. Number 5: V 536.2 Å³/cell, spin magnetization 0.00 μB/f.u., energy of formation from the pure elements -0.078 eV per atom. Number 6: V 1351.1 Å³/cell, spin magnetization 0.00 μB/f.u., energy of formation from the pure elements -0.130 eV per atom. Number 7: V 479.0 Å³/cell, spin magnetization 0.00 μB/f.u., energy of formation from the pure elements 0.012 eV per atom. Number 8: V 256.5 Å³/cell, spin magnetization 0.00 μB/f.u., energy of formation from the pure elements -0.192 eV per atom. Number 9: V 429.9 Å³/cell, spin magnetization 0.00 μB/f.u., energy of formation from the pure elements -0.219 eV per atom. Number 10: V 427.2 Å³/cell, spin magnetization 0.00 μB/f.u., energy of formation from the pure elements -0.034 eV per atom. Number 11: V 566.6 Å³/cell, spin magnetization 0.00 μB/f.u., energy of formation from the pure elements -0.158 eV per atom. Number 12: V 338.3 Å³/cell, spin magnetization 0.00 μB/f.u., energy of formation from the pure elements -0.153 eV per atom. Number 13: V 520.8 Å³/cell, spin magnetization 0.00 μB/f.u., energy of formation from the pure elements -0.175 eV per atom. Number 14: V 470.5 Å³/cell, spin magnetization 0.00 μB/f.u., energy of formation from the pure elements -0.136 eV per atom. Number 15: V 254.2 Å³/cell, spin magnetization 0.00 μB/f.u., energy of formation from the pure elements 0.001 eV per atom. Number 16: V 328.6 Å³/cell, spin magnetization 0.00 μB/f.u., energy of formation from the pure elements -0.203 eV per atom. Number 17: V 220.1 Å³/cell, spin magnetization 0.00 μB/f.u., energy of formation from the pure elements -0.234 eV per atom. Number 18: V 415.7 Å³/cell, spin magnetization 0.00 μB/f.u., energy of formation from the pure elements -0.022 eV per atom.